Ba2CaP4H6O16 | the Alexandria database | GGA-PBEsol | optimized geometry; electronic total energy = -6.81 eV/atom; density = 3.5 Mg/m³; space group = P2_1/c, No. 14
1.0
5.4839 0.0000 0.0000
0.0000 10.2234 0.0000
-2.2333 0.0000 12.0236
Ba Ca P H O
4 2 8 12 32
direct
0.1451 0.1591 0.3279
0.1451 0.3409 0.8279
0.8549 0.6591 0.1721
0.8549 0.8409 0.6721
0.0000 0.0000 0.0000
0.0000 0.5000 0.5000
0.2383 0.6966 0.9444
0.2383 0.8034 0.4444
0.4109 0.0086 0.7969
0.4109 0.4914 0.2969
0.5891 0.5086 0.7031
0.5891 0.9914 0.2031
0.7617 0.1966 0.5556
0.7617 0.3034 0.0556
0.2990 0.5377 0.0684
0.2990 0.9623 0.5684
0.3726 0.6741 0.7602
0.3726 0.8259 0.2602
0.4359 0.1763 0.0667
0.4359 0.3237 0.5667
0.5641 0.6763 0.4333
0.5641 0.8237 0.9333
0.6274 0.1741 0.7398
0.6274 0.3259 0.2398
0.7010 0.0377 0.4316
0.7010 0.4623 0.9316
0.0699 0.7256 0.5060
0.0699 0.7744 0.0060
0.1662 0.6972 0.8178
0.1662 0.8028 0.3178
0.1734 0.0097 0.8448
0.1734 0.4903 0.3448
0.2427 0.5484 0.9811
0.2427 0.9516 0.4811
0.3676 0.0584 0.1262
0.3676 0.4416 0.6262
0.3741 0.5616 0.1834
0.3741 0.9384 0.6834
0.4774 0.1571 0.7807
0.4774 0.3429 0.2807
0.4820 0.2427 0.5215
0.4820 0.2573 0.0215
0.5180 0.7427 0.9785
0.5180 0.7573 0.4785
0.5226 0.6571 0.7193
0.5226 0.8429 0.2193
0.6259 0.0616 0.3166
0.6259 0.4384 0.8166
0.6324 0.5584 0.3738
0.6324 0.9416 0.8738
0.7573 0.0484 0.5189
0.7573 0.4516 0.0189
0.8266 0.5097 0.6552
0.8266 0.9903 0.1552
0.8338 0.1972 0.6822
0.8338 0.3028 0.1822
0.9301 0.2256 0.9940
0.9301 0.2744 0.4940

Ca2FeRh | the Alexandria database | GGA-PBEsol | optimized geometry; electronic total energy = -5.22 eV/atom; density = 4.7 Mg/m³; space group = Imm2, No. 44; formation energy = 119 meV/atom
1.0
-1.7416 2.4026 5.0269
1.7416 -2.4026 5.0269
1.7416 2.4026 -5.0269
Ca Fe Rh
2 1 1
direct
0.0000 0.0000 0.0000
0.7133 0.2133 0.5000
0.2891 0.7891 0.5000
0.4490 0.4490 0.0000

Ba2TePt | the Alexandria database | GGA-PBEsol | optimized geometry; electronic total energy = -4.56 eV/atom; density = 6.4 Mg/m³; space group = I-42d, No. 122
1.0
-4.2146 4.2146 4.3914
4.2146 -4.2146 4.3914
4.2146 4.2146 -4.3914
Ba Te Pt
4 2 2
direct
0.0905 0.1250 0.4655
0.3750 0.9095 0.0345
0.6595 0.6250 0.5345
0.8750 0.3405 0.9655
0.2500 0.7500 0.5000
0.5000 0.5000 0.0000
0.0000 0.0000 0.0000
0.7500 0.2500 0.5000

HfTe2P | the Alexandria database | GGA-PBEsol | optimized geometry; electronic total energy = -5.86 eV/atom; density = 7.3 Mg/m³; space group = R-3m, No. 166
1.0
1.8319 1.0576 9.0898
-1.8319 1.0576 9.0898
0.0000 -2.1153 9.0898
Hf Te P
1 2 1
direct
0.0000 0.0000 0.0000
0.4027 0.4027 0.4027
0.5973 0.5973 0.5973
0.5000 0.5000 0.5000

ZrTe2Ir | the Alexandria database | GGA-PBEsol | optimized geometry; electronic total energy = -6.97 eV/atom; energy above the lowest structure with this stoichiometry = 0 meV per atom; density = 8.4 Mg/m³; space group = Immm, No. 71
1.0
-1.8677 2.1499 6.6156
1.8677 -2.1499 6.6156
1.8677 2.1499 -6.6156
Zr Te Ir
1 2 1
direct
0.0000 0.0000 0.0000
0.3525 0.8525 0.5000
0.6475 0.1475 0.5000
0.5000 0.5000 0.0000

PbAu2 | the Alexandria database | GGA-PBEsol | optimized geometry; electronic total energy = -3.98 eV/atom; density = 16.1 Mg/m³; space group = Pnma, No. 62; formation energy = -26 meV/atom
1.0
5.7450 0.0000 0.0000
0.0000 4.9132 0.0000
0.0000 0.0000 8.7728
Pb Au
4 8
direct
0.1155 0.2500 0.1268
0.3845 0.7500 0.6268
0.6155 0.2500 0.3732
0.8845 0.7500 0.8732
0.1365 0.2500 0.4801
0.2035 0.7500 0.2934
0.2965 0.2500 0.7934
0.3635 0.7500 0.9801
0.6365 0.2500 0.0199
0.7035 0.7500 0.2066
0.7965 0.2500 0.7066
0.8635 0.7500 0.5199

ScSi2Mo | the Alexandria database | GGA-PBEsol | optimized geometry; electronic total energy = -7.79 eV/atom; density = 5.4 Mg/m³; space group = Fm-3m, No. 225
1.0
0.0000 3.1118 3.1118
3.1118 0.0000 3.1118
3.1118 3.1118 0.0000
Sc Si Mo
1 2 1
direct
0.0000 0.0000 0.0000
0.2500 0.2500 0.2500
0.7500 0.7500 0.7500
0.5000 0.5000 0.5000

Ta3As5 | the Alexandria database | GGA-PBEsol | optimized geometry; electronic total energy = -7.96 eV/atom; density = 11.5 Mg/m³; space group = Cmmm, No. 65; formation energy = -66 meV/atom
1.0
3.4743 -4.0855 0.0000
3.4743 4.0855 0.0000
0.0000 0.0000 4.6832
Ta As
3 5
direct
0.0000 0.0000 0.0000
0.2776 0.7224 0.5000
0.7224 0.2776 0.5000
0.0000 0.5000 0.0000
0.2025 0.2025 0.5000
0.5000 0.0000 0.0000
0.5000 0.5000 0.0000
0.7975 0.7975 0.5000

Na2CuO2 | the Alexandria database | GGA-PBEsol | optimized geometry; electronic total energy = -4.55 eV/atom; energy above the lowest structure with this stoichiometry = 27 meV per atom; density = 3.7 Mg/m³; space group = P2_1/m, No. 11
1.0
5.5843 0.0000 0.0000
0.0000 2.8999 0.0000
-2.7754 0.0000 7.7420
Na Cu O
4 2 4
direct
0.1225 0.2500 0.3826
0.1796 0.2500 0.9410
0.8204 0.7500 0.0590
0.8775 0.7500 0.6174
0.4731 0.7500 0.7407
0.5269 0.2500 0.2593
0.2300 0.2500 0.6782
0.2710 0.7500 0.1826
0.7290 0.2500 0.8174
0.7700 0.7500 0.3218

Si2PW | the Alexandria database | GGA-PBEsol | optimized geometry; electronic total energy = -7.72 eV/atom; density = 8.1 Mg/m³; space group = Cm, No. 8
1.0
4.2125 -1.5124 0.0000
4.2125 1.5124 0.0000
-0.3013 0.0000 4.3508
Si P W
2 1 1
direct
0.0000 0.0000 0.0000
0.2405 0.2405 0.7561
0.4630 0.4630 0.4647
0.7390 0.7390 0.2547

FeAgIr2 | the Alexandria database | GGA-PBEsol | optimized geometry; electronic total energy = -7.66 eV/atom; energy above the lowest structure with this stoichiometry = 209 meV per atom; density = 15.9 Mg/m³; space group = P2/m, No. 10; formation energy = 318 meV/atom
1.0
2.6954 0.0000 0.0000
0.0000 4.2125 0.0000
-1.3271 0.0000 5.0397
Fe Ag Ir
1 1 2
direct
0.0000 0.0000 0.0000
0.0000 0.0000 0.5000
0.3763 0.5000 0.2310
0.6237 0.5000 0.7690

Rb2Li14Tb3O14 | the Alexandria database | GGA-PBEsol | optimized geometry; electronic total energy = -5.64 eV/atom; density = 4.2 Mg/m³; space group = Immm, No. 71
1.0
-3.6785 4.0251 6.4905
3.6785 -4.0251 6.4905
3.6785 4.0251 -6.4905
Rb Li Tb O
2 14 3 14
direct
0.0000 0.2358 0.2358
0.0000 0.7642 0.7642
0.0857 0.2319 0.8538
0.2113 0.1410 0.6176
0.2113 0.5937 0.0704
0.3454 0.5000 0.8454
0.3780 0.2319 0.1462
0.4766 0.4063 0.6176
0.4766 0.8590 0.0704
0.5234 0.1410 0.9296
0.5234 0.5937 0.3824
0.6220 0.7681 0.8538
0.6546 0.5000 0.1546
0.7887 0.4063 0.9296
0.7887 0.8590 0.3824
0.9143 0.7681 0.1462
0.2302 0.7302 0.5000
0.5000 0.0000 0.5000
0.7698 0.2698 0.5000
0.0932 0.3732 0.7200
0.1831 0.8690 0.3141
0.2537 0.0526 0.7989
0.2537 0.4548 0.2011
0.3468 0.6268 0.7200
0.4452 0.1310 0.3141
0.5000 0.2991 0.7991
0.5000 0.7009 0.2009
0.5548 0.8690 0.6859
0.6532 0.3732 0.2800
0.7463 0.5452 0.7989
0.7463 0.9474 0.2011
0.8169 0.1310 0.6859
0.9068 0.6268 0.2800

> Which value of density does entry 2 give?

4.7 Mg/m³

> Look up the density of the twelfth one.

4.2 Mg/m³

> Which of these has the highest density?

PbAu2

> Among the records above, which one has the highest density?

PbAu2